VASP calculation (meta-GGA SCAN) on a crystal of NdSi2Ir3 relaxed with PBEsol.

Results
Its density is 13.3 g cm⁻³. The formation energy from raw total energies comes out at -6.6 eV/f.u. The total magnetization comes out at 0.00 μB/atom. Its symmetry is Imma (74).

Unit cell a=6.6412 b=6.6412 c=6.6412 alpha=114.25 beta=86.55 gamma=130.50
Last column: nearest neighbours and their distance in Å.
Fractional coordinates of all 12 atoms:
Nd: 0.4722 0.2222 0.2500  6 Si 3.13-3.33, 8 Ir 3.14-3.44
Nd: 0.5278 0.7778 0.7500  6 Si 3.13-3.33, 8 Ir 3.14-3.44
Si: 0.1213 0.7014 0.4199  6 Ir 2.42-2.45
Si: 0.2185 0.2986 0.9199  6 Ir 2.42-2.45
Si: 0.7815 0.7014 0.0801  6 Ir 2.42-2.45
Si: 0.8787 0.2986 0.5801  6 Ir 2.42-2.45
Ir: 0.0000 0.0000 0.5000  4 Si 2.45
Ir: 0.0000 0.2199 0.2199  4 Si 2.42-2.44
Ir: 0.0000 0.5000 0.0000  4 Si 2.45
Ir: 0.0000 0.7801 0.7801  4 Si 2.42-2.44
Ir: 0.5000 0.2199 0.7199  4 Si 2.42-2.44
Ir: 0.5000 0.7801 0.2801  4 Si 2.42-2.44